1 | ZnInH2 after structural relaxation, computed with PBE.

Output
As for the space group: No. 122. As for the crystal system: tetragonal.

```
ZnInH2
1.0
4.941 0.000 0.000
0.000 4.941 0.000
2.470 2.470 4.771
H In Zn
4 2 2
Cartesian
2.213 3.706 1.193 H
6.176 5.199 3.578 H
2.728 1.235 1.193 H
3.706 4.683 3.578 H
0.000 0.000 0.000 In
4.941 2.470 2.385 In
2.470 2.470 0.000 Zn
2.470 4.941 2.385 Zn
```


2 | ZnInH2 after structural relaxation, computed with PBE.

Output
As for the space group: No. 225. As for the crystal system: cubic.

```
ZnInH2
1.0
0.000 2.946 2.946
2.946 0.000 2.946
2.946 2.946 0.000
H In Zn
2 1 1
Cartesian
1.473 1.473 1.473 H
4.420 4.420 4.420 H
2.946 2.946 2.946 In
0.000 0.000 0.000 Zn
```


Most stable to least stable: 1, 2


1 | ZrIn2H2 after structural relaxation, computed with PBE.

Output
As for the space group: No. 139. As for the crystal system: tetragonal.

```
ZrIn2H2
1.0
-3.206 2.361 1.214
0.022 -1.880 3.714
1.492 3.570 4.130
In H Zr
2 2 1
Cartesian
-0.039 0.965 5.154 In
-1.653 3.086 3.904 In
-1.339 0.513 2.600 H
-0.352 3.538 6.458 H
0.000 0.000 0.000 Zr
```


2 | ZrIn2H2 after structural relaxation, computed with PBE.

Output
As for the space group: No. 127. As for the crystal system: tetragonal.

```
ZrIn2H2
1.0
6.070 0.000 0.000
0.000 6.070 0.000
0.000 0.000 4.289
H In Zr
4 4 2
Cartesian
4.315 1.279 0.000 H
4.791 4.315 0.000 H
1.279 1.756 0.000 H
1.756 4.791 0.000 H
4.163 4.942 2.144 In
4.942 1.907 2.144 In
1.128 4.163 2.144 In
1.907 1.128 2.144 In
3.035 3.035 0.000 Zr
0.000 0.000 0.000 Zr
```


Most stable to least stable: 2, 1